A relaxed structure of Pr3Cd4In4. Source: Alexandria, functional PBE.

The structure belongs to space group C2/m (No. 12); the cell edges are 30.8386, 3.8666 and 4.9712 Å and the angles 90.00°, 98.84° and 90.00°. Symmetry generates all atoms from Pr at (0.0000, 0.0000, 0.0000), Pr at (0.1423, 0.0000, 0.6373), Cd at (0.0930, 0.5000, 0.0895), Cd at (0.2391, 0.5000, 0.7341), In at (0.0479, 0.5000, 0.5466) and In at (0.1853, 0.5000, 0.1789).

As for the final energy: -2.996 eV/atom. Its energy relative to the elements is -0.364 eV/atom.